Material: NiO2
Method: DFT, PBE with a Hubbard U
State: optimized geometry

Calculated values
magnetization = 2.0 Bohr magnetons per cell
crystal system = orthorhombic
energy = -4.15 eV per atom

Unit cell a=3.940 b=3.940 c=3.940 alpha=139.05 beta=100.91 gamma=93.18
Element x y z (fractional)
O1 0.281 0.281 0.000
O2 0.719 0.719 0.000
Ni1 0.500 0.000 0.500